No. 1
Material: TbMgGa4
Method: DFT, PBE-GGA
State: optimized geometry

Properties
ΔE to the lowest computed polymorph: 0.00 eV per formula unit
Calculated formation energy: -0.397 eV per atom
Magnetic moment: 0.000 μB per atom
Fermi-level density of states: 0.32 states/eV per atom

Lattice parameters (Å, degrees): 4.3540 5.6746 5.6749 71.86 67.44 67.44
Closest atoms and distances in Å follow each position.
Positions (direct):
Ga: 0.3358 0.8778 0.9505  4 Ga 2.63-2.85, 2 Mg 2.92
Ga: 0.3359 0.4501 0.3781  4 Ga 2.63-2.85, 2 Mg 2.92
Mg: 0.0000 0.5000 0.0000  8 Ga 2.92
Ga: 0.6641 0.5499 0.6219  4 Ga 2.63-2.85, 2 Mg 2.92
Ga: 0.6642 0.1222 0.0495  4 Ga 2.63-2.85, 2 Mg 2.92
Tb: 0.0000 0.0000 0.5000  12 Ga 3.07-3.18, 2 Mg 3.33

***

No. 2
Material: Ac4Ga2Os
Method: DFT, PBE-GGA
State: optimized geometry

Properties
Calculated formation energy: -0.093 eV per atom
Magnetic moment: 0.000 μB per atom
Fermi-level density of states: 0.91 states/eV per atom

Lattice parameters (Å, degrees): 5.7346 5.7346 8.8498 108.90 108.90 90.00
Closest atoms and distances in Å follow each position.
Positions (direct):
Os: 0.0000 0.0000 0.0000  6 Ac 2.87-2.92
Ga: 0.3848 0.3848 0.7695  5 Ac 3.14-3.39
Ac: 0.0000 0.5000 0.0000  2 Os 2.87
Ac: 0.1853 0.1853 0.3707  1 Os 2.92, 1 Ga 3.14
Ac: 0.5000 0.0000 0.0000  2 Os 2.87
Ga: 0.6152 0.6152 0.2305  5 Ac 3.14-3.39
Ac: 0.8147 0.8147 0.6293  1 Os 2.92, 1 Ga 3.14

***

No. 3
Material: TlTcCl2
Method: DFT, PBE-GGA
State: optimized geometry

Properties
ΔE to the lowest computed polymorph: 1.77 eV per formula unit
Formation energy (no corrections): 0.28 eV per atom
Magnetic moment: 1.029 μB per atom
Fermi-level density of states: 0.62 states/eV per atom

Lattice parameters (Å, degrees): 8.2008 5.2863 3.4300 90.00 65.27 129.78
Closest atoms and distances in Å follow each position.
Positions (direct):
Tc: 0.0000 0.5000 0.5000  8 Cl 3.15, 2 Tc 3.43
Cl: 0.5000 0.0000 0.5000  4 Tl 3.15, 4 Tc 3.15, 2 Cl 3.43
Tl: 0.5000 0.5000 0.0000  8 Cl 3.15, 2 Tl 3.43
Cl: 0.0000 0.0000 0.0000  4 Tc 3.15, 4 Tl 3.15, 2 Cl 3.43

***

No. 4
Material: Th2BiRu
Method: DFT, PBE-GGA
State: optimized geometry

Properties
ΔE to the lowest computed polymorph: 0.00 eV per formula unit
Calculated formation energy: -0.517 eV per atom
Magnetic moment: 0.000 μB per atom
Fermi-level density of states: 0.81 states/eV per atom

Lattice parameters (Å, degrees): 4.2499 4.2499 7.8919 74.38 74.38 60.00
Closest atoms and distances in Å follow each position.
Positions (direct):
Bi: 0.5000 0.5000 0.5000  6 Th 3.32
Ru: 0.0000 0.0000 0.0000  6 Th 2.89
Th: 0.2659 0.2659 0.2023  3 Ru 2.89
Th: 0.7341 0.7341 0.7977  3 Ru 2.89

***

No. 5
Material: Ta2NiPt
Method: DFT, PBE-GGA
State: optimized geometry

Properties
Calculated formation energy: -0.267 eV per atom
Magnetic moment: 0.000 μB per atom
Fermi-level density of states: 1.23 states/eV per atom

Lattice parameters (Å, degrees): 3.3997 3.3997 5.4971 90.00 90.00 90.00
Closest atoms and distances in Å follow each position.
Positions (direct):
Pt: 0.5000 0.5000 0.7500  2 Ni 2.75, 8 Ta 2.79
Ta: 0.0000 0.0000 0.0090  2 Ta 2.65-2.85, 4 Ni 2.74, 4 Pt 2.79
Ta: 0.0000 0.0000 0.4910  2 Ta 2.65-2.85, 4 Ni 2.74, 4 Pt 2.79
Ni: 0.5000 0.5000 0.2500  8 Ta 2.74, 2 Pt 2.75

***

No. 6
Material: Er2Tm4Pb
Method: DFT, PBE-GGA
State: optimized geometry

Properties
ΔE to the lowest computed polymorph: 1.56 eV per formula unit
Calculated formation energy: 0.180 eV per atom
Magnetic moment: 0.000 μB per atom
Fermi-level density of states: 1.18 states/eV per atom

Lattice parameters (Å, degrees): 3.4222 5.9926 11.0081 90.00 90.00 89.94
Closest atoms and distances in Å follow each position.
Positions (direct):
Tm: 0.1823 0.2486 0.2542  4 Tm 3.23-3.42, 1 Pb 3.23, 2 Er 3.27-3.36
Tm: 0.8172 0.2487 0.7458  1 Pb 3.23, 4 Tm 3.23-3.42, 2 Er 3.27-3.36
Tm: 0.1828 0.7513 0.7458  1 Pb 3.23, 4 Tm 3.23-3.42, 2 Er 3.27-3.36
Er: 0.5000 0.0000 0.5000  4 Tm 3.27, 2 Er 3.42
Pb: 0.0000 0.0000 0.0000  4 Tm 3.23, 2 Pb 3.42, 4 Er 3.45
Tm: 0.8177 0.7514 0.2542  4 Tm 3.23-3.42, 1 Pb 3.23, 2 Er 3.27-3.36
Er: 0.5000 0.5000 0.0000  4 Tm 3.36, 2 Er 3.42, 4 Pb 3.45

***

No. 7
Material: LaTaIn2
Method: DFT, PBE-GGA
State: optimized geometry

Properties
Calculated formation energy: 0.193 eV per atom
Magnetic moment: 0.000 μB per atom
Fermi-level density of states: 1.15 states/eV per atom

Lattice parameters (Å, degrees): 4.9784 3.1629 6.4396 75.85 90.00 90.00
Closest atoms and distances in Å follow each position.
Positions (direct):
In: 0.0000 0.2039 0.9656  4 In 3.04-3.16, 1 La 3.08, 4 Ta 3.09
Ta: 0.5000 0.7783 0.8177  6 In 3.09-3.10, 2 Ta 3.16
La: 0.0000 0.4520 0.4729  5 In 3.08-3.28, 2 La 3.16
In: 0.5000 0.0658 0.2438  4 In 3.04-3.16, 2 Ta 3.09-3.10, 4 La 3.28

***

No. 8
Material: CaTa
Method: DFT, PBE-GGA
State: optimized geometry

Properties
ΔE to the lowest computed polymorph: 0.92 eV per formula unit
Calculated formation energy: 0.815 eV per atom
Magnetic moment: 0.000 μB per atom
Fermi-level density of states: 1.58 states/eV per atom

Lattice parameters (Å, degrees): 3.1105 3.1105 11.1819 90.00 90.00 120.00
Closest atoms and distances in Å follow each position.
Positions (direct):
Ta: 0.6667 0.3333 0.7500  6 Ta 3.11, 6 Ca 3.32
Ta: 0.3333 0.6667 0.2500  6 Ta 3.11, 6 Ca 3.32
Ca: 0.0000 0.0000 0.0000  6 Ca 3.11, 6 Ta 3.32
Ca: 0.0000 0.0000 0.5000  6 Ca 3.11, 6 Ta 3.32